# K3TmW2O9, optimized geometry, DFT GGA+U
data_K3TmW2O9
_chemical_formula_sum 'K3 Tm1 W2 O9'
_cell_length_a 5.7925
_cell_length_b 5.7925
_cell_length_c 7.1474
_cell_angle_alpha 90.00
_cell_angle_beta 90.00
_cell_angle_gamma 120.00
_symmetry_space_group_name_H-M 'P -3 m 1'
_symmetry_Int_Tables_number 164
_symmetry_space_group_name_Hall '-P 3 2"'
loop_
_atom_site_label
_atom_site_fract_x
_atom_site_fract_y
_atom_site_fract_z
K1 0.0000 0.0000 0.0000
K2 0.3333 0.6667 0.6688
Tm1 0.0000 0.0000 0.5000
W1 0.3333 0.6667 0.1663
O1 0.0000 0.5000 0.0000
O2 0.1767 0.3534 0.3142
# Calculated total energy = -0.4998 Ry/atom